1.
! PBE Mo2PbW, optimized geometry; values from VASP
&SYSTEM
  ibrav = 0, nat = 4, ntyp = 3
/
ATOMIC_SPECIES
Mo 95.94 Mo.upf
Pb 207.20 Pb.upf
W 183.84 W.upf
CELL_PARAMETERS angstrom
0.000 3.278 3.278
3.278 0.000 3.278
3.278 3.278 0.000
ATOMIC_POSITIONS crystal
Mo 0.000 0.000 0.000
Mo 0.250 0.250 0.250
Pb 0.500 0.500 0.500
W 0.750 0.750 0.750
! - space-group type = No. 216
! - total energy (eV/atom) = -8.814

=====

2.
! PBE Zr2MoPb, optimized geometry; values from VASP
&SYSTEM
  ibrav = 0, nat = 4, ntyp = 3
/
ATOMIC_SPECIES
Zr 91.22 Zr.upf
Mo 95.94 Mo.upf
Pb 207.20 Pb.upf
CELL_PARAMETERS angstrom
0.000 3.452 3.452
3.452 0.000 3.452
3.452 3.452 0.000
ATOMIC_POSITIONS crystal
Zr 0.000 0.000 0.000
Zr 0.250 0.250 0.250
Mo 0.750 0.750 0.750
Pb 0.500 0.500 0.500
! - space-group type = No. 216
! - total energy (eV/atom) = -7.744

=====

3.
! PBE MoPd6, optimized geometry; values from VASP
&SYSTEM
  ibrav = 0, nat = 7, ntyp = 2
/
ATOMIC_SPECIES
Mo 95.94 Mo.upf
Pd 106.42 Pd.upf
CELL_PARAMETERS angstrom
0.000 3.860 3.860
3.860 0.000 3.860
3.860 3.860 0.000
ATOMIC_POSITIONS crystal
Mo 0.000 0.000 0.000
Pd 0.000 0.000 0.500
Pd 0.000 0.500 0.000
Pd 0.000 0.500 0.500
Pd 0.500 0.000 0.000
Pd 0.500 0.000 0.500
Pd 0.500 0.500 0.000
! - space-group type = No. 225
! - total energy (eV/atom) = -5.882

=====

4.
! PBE MoPd, optimized geometry; values from VASP
&SYSTEM
  ibrav = 0, nat = 2, ntyp = 2
/
ATOMIC_SPECIES
Mo 95.94 Mo.upf
Pd 106.42 Pd.upf
CELL_PARAMETERS angstrom
0.000 2.602 2.602
2.602 0.000 2.602
2.602 2.602 0.000
ATOMIC_POSITIONS crystal
Mo 0.000 0.000 0.000
Pd 0.500 0.500 0.500
! - space-group type = No. 225
! - total energy (eV/atom) = -6.915

=====

5.
! PBE MoPd, optimized geometry; values from VASP
&SYSTEM
  ibrav = 0, nat = 2, ntyp = 2
/
ATOMIC_SPECIES
Mo 95.94 Mo.upf
Pd 106.42 Pd.upf
CELL_PARAMETERS angstrom
0.000 2.834 2.834
2.834 0.000 2.834
2.834 2.834 0.000
ATOMIC_POSITIONS crystal
Mo 0.000 0.000 0.000
Pd 0.750 0.750 0.750
! - space-group type = No. 216
! - total energy (eV/atom) = -6.467

=====

6.
! PBE MoPd2, optimized geometry; values from VASP
&SYSTEM
  ibrav = 0, nat = 3, ntyp = 2
/
ATOMIC_SPECIES
Mo 95.94 Mo.upf
Pd 106.42 Pd.upf
CELL_PARAMETERS angstrom
-1.379 1.986 4.128
1.379 -1.986 4.128
1.379 1.986 -4.128
ATOMIC_POSITIONS crystal
Mo 0.000 0.000 0.000
Pd 0.335 0.335 0.000
Pd 0.665 0.665 0.000
! - space-group type = No. 71
! - total energy (eV/atom) = -7.173

=====

7.
! PBE MoPd2, optimized geometry; values from VASP
&SYSTEM
  ibrav = 0, nat = 6, ntyp = 2
/
ATOMIC_SPECIES
Mo 95.94 Mo.upf
Pd 106.42 Pd.upf
CELL_PARAMETERS angstrom
0.000 3.609 3.609
3.609 0.000 3.609
3.609 3.609 0.000
ATOMIC_POSITIONS crystal
Mo 0.125 0.125 0.125
Mo 0.875 0.875 0.875
Pd 0.000 0.500 0.500
Pd 0.500 0.000 0.500
Pd 0.500 0.500 0.000
Pd 0.500 0.500 0.500
! - space-group type = No. 227
! - total energy (eV/atom) = -6.702

=====

8.
! PBE MoPd3Pt3, optimized geometry; values from VASP
&SYSTEM
  ibrav = 0, nat = 14, ntyp = 3
/
ATOMIC_SPECIES
Mo 95.94 Mo.upf
Pd 106.42 Pd.upf
Pt 195.08 Pt.upf
CELL_PARAMETERS angstrom
7.399 0.000 0.000
-3.700 6.408 0.000
0.000 0.000 4.541
ATOMIC_POSITIONS crystal
Mo 0.333 0.667 0.250
Mo 0.667 0.333 0.750
Pd 0.056 0.244 0.250
Pd 0.188 0.944 0.250
Pd 0.244 0.188 0.750
Pd 0.756 0.812 0.250
Pd 0.812 0.056 0.750
Pd 0.944 0.756 0.750
Pt 0.096 0.479 0.750
Pt 0.383 0.904 0.750
Pt 0.479 0.383 0.250
Pt 0.521 0.617 0.750
Pt 0.617 0.096 0.250
Pt 0.904 0.521 0.250
! - space-group type = No. 176
! - total energy (eV/atom) = -6.560

=====

9.
! PBE PuMoPd, optimized geometry; values from VASP
&SYSTEM
  ibrav = 0, nat = 3, ntyp = 3
/
ATOMIC_SPECIES
Pu 244.00 Pu.upf
Mo 95.94 Mo.upf
Pd 106.42 Pd.upf
CELL_PARAMETERS angstrom
0.000 3.129 3.129
3.129 0.000 3.129
3.129 3.129 0.000
ATOMIC_POSITIONS crystal
Pu 0.000 0.000 0.000
Mo 0.750 0.750 0.750
Pd 0.500 0.500 0.500
! - space-group type = No. 216
! - excess energy over the best structure of this formula in the dataset (meV/atom) = 0

=====

10.
! PBE PuMoPd, optimized geometry; values from VASP
&SYSTEM
  ibrav = 0, nat = 3, ntyp = 3
/
ATOMIC_SPECIES
Pu 244.00 Pu.upf
Mo 95.94 Mo.upf
Pd 106.42 Pd.upf
CELL_PARAMETERS angstrom
0.000 3.110 3.110
3.110 0.000 3.110
3.110 3.110 0.000
ATOMIC_POSITIONS crystal
Pu 0.000 0.000 0.000
Mo 0.250 0.250 0.250
Pd 0.750 0.750 0.750
! - space-group type = No. 216
! - excess energy over the best structure of this formula in the dataset (meV/atom) = 222

=====

11.
! PBE ReMoPd2, optimized geometry; values from VASP
&SYSTEM
  ibrav = 0, nat = 4, ntyp = 3
/
ATOMIC_SPECIES
Re 186.21 Re.upf
Mo 95.94 Mo.upf
Pd 106.42 Pd.upf
CELL_PARAMETERS angstrom
0.000 3.128 3.128
3.128 0.000 3.128
3.128 3.128 0.000
ATOMIC_POSITIONS crystal
Re 0.000 0.000 0.000
Mo 0.250 0.250 0.250
Pd 0.500 0.500 0.500
Pd 0.750 0.750 0.750
! - space-group type = No. 216
! - total energy (eV/atom) = -8.152

=====

12.
! PBE Re2MoPd, optimized geometry; values from VASP
&SYSTEM
  ibrav = 0, nat = 4, ntyp = 3
/
ATOMIC_SPECIES
Re 186.21 Re.upf
Mo 95.94 Mo.upf
Pd 106.42 Pd.upf
CELL_PARAMETERS angstrom
0.000 3.126 3.126
3.126 0.000 3.126
3.126 3.126 0.000
ATOMIC_POSITIONS crystal
Re 0.000 0.000 0.000
Re 0.250 0.250 0.250
Mo 0.750 0.750 0.750
Pd 0.500 0.500 0.500
! - space-group type = No. 216
! - total energy (eV/atom) = -9.891

=====

Please write out number 1 again, unchanged.
! PBE Mo2PbW, optimized geometry; values from VASP
&SYSTEM
  ibrav = 0, nat = 4, ntyp = 3
/
ATOMIC_SPECIES
Mo 95.94 Mo.upf
Pb 207.20 Pb.upf
W 183.84 W.upf
CELL_PARAMETERS angstrom
0.000 3.278 3.278
3.278 0.000 3.278
3.278 3.278 0.000
ATOMIC_POSITIONS crystal
Mo 0.000 0.000 0.000
Mo 0.250 0.250 0.250
Pb 0.500 0.500 0.500
W 0.750 0.750 0.750
! - space-group type = No. 216
! - total energy (eV/atom) = -8.814